(1)
The following is a GGA-PBE calculation of a relaxed VCuPd4 crystal, from the Alexandria database.

a = 2.7512 Å, b = 3.8501 Å, c = 8.2099 Å
α = 90.00°, β = 90.00°, γ = 90.00°
Element x y z (fractional)
V 0.0000 0.0000 0.0000
Cu 0.5000 0.5000 0.5000
Pd 0.0000 0.0000 0.3344
Pd 0.0000 0.0000 0.6656
Pd 0.5000 0.5000 0.1625
Pd 0.5000 0.5000 0.8375

Results
- Space-group type: No. 47
- Formation energy: -1.06 eV/f.u.
- Total magnetization: 0.001 μB/f.u.
- Energy above the most stable polymorph in this dataset: 0.0000 eV/atom

(2)
The following is a GGA-PBE calculation of a relaxed VCu2Pd crystal, from the Alexandria database.

a = 3.8052 Å, b = 3.8052 Å, c = 3.7917 Å
α = 90.00°, β = 90.00°, γ = 90.00°
Element x y z (fractional)
V 0.0000 0.0000 0.0000
Cu 0.0000 0.5000 0.5000
Cu 0.5000 0.0000 0.5000
Pd 0.5000 0.5000 0.0000

Results
- Space-group type: No. 123
- Formation energy: 0.28 eV/f.u.
- Total magnetization: 3.030 μB/f.u.
- Energy above the most stable polymorph in this dataset: 0.0479 eV/atom

(3)
The following is a GGA-PBE calculation of a relaxed VCu2Pd6 crystal, from the Alexandria database.

a = 4.6853 Å, b = 4.6853 Å, c = 8.0930 Å
α = 104.58°, β = 104.58°, γ = 49.76°
Element x y z (fractional)
V 0.0000 0.0000 0.0000
Cu 0.3296 0.3296 0.7759
Cu 0.6704 0.6704 0.2241
Pd 0.0030 0.0030 0.3173
Pd 0.3348 0.3348 0.4444
Pd 0.3373 0.3373 0.1033
Pd 0.6627 0.6627 0.8967
Pd 0.6652 0.6652 0.5556
Pd 0.9970 0.9970 0.6827

Results
- Space-group type: No. 12
- Formation energy: -1.29 eV/f.u.
- Total magnetization: 0.975 μB/f.u.

(4)
The following is a GGA-PBE calculation of a relaxed V3CuPd7 crystal, from the Alexandria database.

a = 6.5516 Å, b = 6.5516 Å, c = 6.5516 Å
α = 137.85°, β = 106.05°, γ = 88.98°
Element x y z (fractional)
V 0.0000 0.0000 0.0000
V 0.2346 0.7346 0.5000
V 0.7654 0.2654 0.5000
Cu 0.5000 0.5000 0.0000
Pd 0.0347 0.2137 0.8211
Pd 0.1774 0.5000 0.6774
Pd 0.3926 0.2137 0.1789
Pd 0.5000 0.0000 0.5000
Pd 0.6074 0.7863 0.8211
Pd 0.8226 0.5000 0.3226
Pd 0.9653 0.7863 0.1789

Results
- Space-group type: No. 71
- Formation energy: 0.91 eV/f.u.
- Total magnetization: 1.649 μB/f.u.

(5)
The following is a GGA-PBE calculation of a relaxed V2CuPd2 crystal, from the Alexandria database.

a = 7.4449 Å, b = 7.4449 Å, c = 2.7025 Å
α = 90.00°, β = 90.00°, γ = 90.00°
Element x y z (fractional)
V 0.1119 0.3881 0.0000
V 0.3881 0.8881 0.0000
V 0.6119 0.1119 0.0000
V 0.8881 0.6119 0.0000
Cu 0.0000 0.0000 0.0000
Cu 0.5000 0.5000 0.0000
Pd 0.1814 0.6814 0.5000
Pd 0.3186 0.1814 0.5000
Pd 0.6814 0.8186 0.5000
Pd 0.8186 0.3186 0.5000

Results
- Space-group type: No. 127
- Formation energy: 0.51 eV/f.u.
- Total magnetization: 0.000 μB/f.u.
- Energy above the most stable polymorph in this dataset: 0.0281 eV/atom

(6)
The following is a GGA-PBE calculation of a relaxed CuPd2W crystal, from the Alexandria database.

a = 2.7772 Å, b = 2.7772 Å, c = 7.5916 Å
α = 90.00°, β = 90.00°, γ = 90.00°
Element x y z (fractional)
Cu 0.0000 0.0000 0.0000
Pd 0.5000 0.5000 0.2420
Pd 0.5000 0.5000 0.7580
W 0.0000 0.0000 0.5000

Results
- Space-group type: No. 123
- Formation energy: -0.24 eV/f.u.
- Total magnetization: 0.000 μB/f.u.
- Energy above the most stable polymorph in this dataset: 0.0000 eV/atom

(7)
The following is a GGA-PBE calculation of a relaxed CuPd3W crystal, from the Alexandria database.

a = 7.1593 Å, b = 7.1593 Å, c = 8.7502 Å
α = 90.00°, β = 90.00°, γ = 158.22°
Element x y z (fractional)
Cu 0.2377 0.7623 0.7500
Cu 0.7623 0.2377 0.2500
Pd 0.0932 0.9068 0.2500
Pd 0.3369 0.6631 0.0236
Pd 0.3369 0.6631 0.4764
Pd 0.6631 0.3369 0.5236
Pd 0.6631 0.3369 0.9764
Pd 0.9068 0.0932 0.7500
W 0.0000 0.0000 0.0000
W 0.0000 0.0000 0.5000

Results
- Space-group type: No. 63
- Formation energy: 1.45 eV/f.u.
- Total magnetization: 0.000 μB/f.u.
- Energy above the most stable polymorph in this dataset: 0.0000 eV/atom

(8)
The following is a GGA-PBE calculation of a relaxed CuPd3W crystal, from the Alexandria database.

a = 4.5026 Å, b = 4.5026 Å, c = 4.5026 Å
α = 90.00°, β = 90.00°, γ = 90.00°
Element x y z (fractional)
Cu 0.0000 0.0000 0.0000
Pd 0.0000 0.0000 0.5000
Pd 0.0000 0.5000 0.0000
Pd 0.5000 0.0000 0.0000
W 0.5000 0.5000 0.5000

Results
- Space-group type: No. 221
- Formation energy: 6.29 eV/f.u.
- Total magnetization: 3.199 μB/f.u.
- Energy above the most stable polymorph in this dataset: 0.9685 eV/atom

(9)
The following is a GGA-PBE calculation of a relaxed CuPdW3 crystal, from the Alexandria database.

a = 4.7110 Å, b = 4.7110 Å, c = 4.7110 Å
α = 90.00°, β = 90.00°, γ = 90.00°
Element x y z (fractional)
Cu 0.0000 0.0000 0.0000
Pd 0.5000 0.5000 0.5000
W 0.0000 0.5000 0.5000
W 0.5000 0.0000 0.5000
W 0.5000 0.5000 0.0000

Results
- Space-group type: No. 221
- Formation energy: 12.44 eV/f.u.
- Total magnetization: 0.000 μB/f.u.
- Energy above the most stable polymorph in this dataset: 0.6956 eV/atom

(10)
The following is a GGA-PBE calculation of a relaxed CuPd3W crystal, from the Alexandria database.

a = 4.8064 Å, b = 4.8064 Å, c = 4.8064 Å
α = 90.00°, β = 90.00°, γ = 90.00°
Element x y z (fractional)
Cu 0.0000 0.0000 0.0000
Pd 0.0000 0.5000 0.5000
Pd 0.5000 0.0000 0.5000
Pd 0.5000 0.5000 0.0000
W 0.5000 0.5000 0.5000

Results
- Space-group type: No. 221
- Formation energy: 6.62 eV/f.u.
- Total magnetization: 0.000 μB/f.u.
- Energy above the most stable polymorph in this dataset: 1.0327 eV/atom

(11)
The following is a GGA-PBE calculation of a relaxed CuPd6W crystal, from the Alexandria database.

a = 3.9372 Å, b = 3.9372 Å, c = 7.7418 Å
α = 90.00°, β = 90.00°, γ = 90.00°
Element x y z (fractional)
Cu 0.0000 0.0000 0.0000
Pd 0.0000 0.5000 0.2550
Pd 0.0000 0.5000 0.7450
Pd 0.5000 0.0000 0.2550
Pd 0.5000 0.0000 0.7450
Pd 0.5000 0.5000 0.0000
Pd 0.5000 0.5000 0.5000
W 0.0000 0.0000 0.5000

Results
- Space-group type: No. 123
- Formation energy: -0.85 eV/f.u.
- Total magnetization: 0.000 μB/f.u.

(12)
The following is a GGA-PBE calculation of a relaxed CuPd4W crystal, from the Alexandria database.

a = 2.7691 Å, b = 3.9622 Å, c = 8.1596 Å
α = 90.00°, β = 90.00°, γ = 90.00°
Element x y z (fractional)
Cu 0.0000 0.0000 0.0000
Pd 0.0000 0.0000 0.3339
Pd 0.0000 0.0000 0.6661
Pd 0.5000 0.5000 0.1667
Pd 0.5000 0.5000 0.8333
W 0.5000 0.5000 0.5000

Results
- Space-group type: No. 47
- Formation energy: -0.45 eV/f.u.
- Total magnetization: 0.000 μB/f.u.